## BaLa2Pb (GGA-PBE)

Data for a relaxed BaLa2Pb crystal.

Lattice parameters (Å, degrees): 5.558 5.566 10.484 90.00 90.00 90.00
Fractional coordinates of all 8 atoms:
Ba1 0.000 0.000 0.000
Ba2 0.500 0.500 0.000
La1 0.000 0.500 0.308
La2 0.000 0.500 0.692
La3 0.500 0.000 0.308
La4 0.500 0.000 0.692
Pb1 0.000 0.000 0.500
Pb2 0.500 0.500 0.500

Properties
As for the density of states at the Fermi level: 1.340 states/eV/atom. Its formation energy is -0.16 eV per atom. The crystal system is orthorhombic. As for the space group: No. 65.